Entry 1:
A geometry-optimized DyLu2Cu4Si2Ge2 structure. Source: the Open Quantum Materials Database, functional PBE-GGA.

Cell lengths 7.8502, 7.8502, 7.8502 Å; angles 149.59, 130.46, 59.25 degrees
Element x y z (fractional)
Cu 0.6441 0.3355 0.3085
Cu 0.9730 0.6645 0.3085
Cu 0.0270 0.3355 0.6915
Cu 0.3559 0.6645 0.6915
Dy 0.0000 0.0000 0.0000
Ge 0.2183 0.2183 0.0000
Ge 0.7817 0.7817 0.0000
Lu 0.6281 0.1281 0.5000
Lu 0.3719 0.8719 0.5000
Si 0.6826 0.5000 0.1826
Si 0.3174 0.5000 0.8174

Properties
Space-group type: Immm
Offset from the most stable computed form: 0.110 eV per formula unit

=====

Entry 2:
A geometry-optimized DyNb2CuGe2 structure. Source: the Open Quantum Materials Database, functional PBE-GGA.

Cell lengths 3.9506, 3.9506, 7.3811 Å; angles 90.00, 90.00, 90.00 degrees
Element x y z (fractional)
Cu 0.5000 0.5000 0.3176
Dy 0.0000 0.0000 0.6433
Ge 0.0000 0.0000 0.2701
Ge 0.5000 0.5000 0.7434
Nb 0.5000 0.0000 0.0128
Nb 0.0000 0.5000 0.0128

Properties
Space-group type: P4mm

=====

Asked for electronic total energy across the records above, the calculation gives -55.462; -39.559 eV for the cell shown in order.